Material: CeAs2Rh7
Method: DFT, PBE
State: relaxed

Output
crystal system = tetragonal
spin magnetization = 0.00 μB/atom
ΔH_f (0 K) = -0.51 eV per atom
raw total energy = -71.8 eV for the cell shown

Lattice parameters (Å, degrees): 10.260 10.260 10.260 157.16 157.16 32.52
Sites, in units of the cell vectors:
1 Ce 0.000 0.000 0.000
2 As 0.323 0.323 0.000
3 As 0.677 0.677 0.000
4 Rh 0.104 0.604 0.500
5 Rh 0.250 0.750 0.500
6 Rh 0.396 0.896 0.500
7 Rh 0.500 0.500 0.000
8 Rh 0.604 0.104 0.500
9 Rh 0.750 0.250 0.500
10 Rh 0.896 0.396 0.500